LiPmCdHg after structural relaxation, computed with PBE.

```
data_LiPmCdHg
_chemical_formula_sum 'Li1 Pm1 Cd1 Hg1'
_cell_length_a 5.125
_cell_length_b 5.125
_cell_length_c 5.125
_cell_angle_alpha 60.00
_cell_angle_beta 60.00
_cell_angle_gamma 60.00
_symmetry_space_group_name_H-M 'P 1'
_symmetry_Int_Tables_number 1
loop_
_symmetry_equiv_pos_as_xyz
'x,y,z'
loop_
_atom_site_label
_atom_site_fract_x
_atom_site_fract_y
_atom_site_fract_z
Li1 0.000 0.000 0.000
Pm1 0.500 0.500 0.500
Cd1 0.750 0.750 0.750
Hg1 0.250 0.250 0.250
```

Summary:
Total DFT energy (no corrections) ... -2.337 eV per atom
SG ... No. 216
Formation energy ... -0.367 eV per atom